# BaUTe4Pd2

A relaxed BaUTe4Pd2 crystal (GGA-PBE, Alexandria via LeMat-Bulk).

Values from the calculation:
VASP energy: -0.1879 hartree per atom
Total magnetization: 2.34 Bohr magnetons per cell
Space-group type: I222, No. 23
Formation energy (no corrections): -592 meV/atom
Theoretical density: 7.6 g/cm3
Density of states at the Fermi level: 9.65 states/eV per cell

a b c (Å): 6.831 6.831 6.831
angles (deg): 116.67 110.81 101.30
Fractional coordinates of all 8 atoms:
Ba 0.000 0.000 0.000
U 0.500 0.500 0.000
Te 0.044 0.060 0.541
Te 0.481 0.940 0.985
Te 0.519 0.504 0.459
Te 0.956 0.496 0.015
Pd 0.334 0.834 0.500
Pd 0.666 0.166 0.500

# BaUTe4Pd

A relaxed BaUTe4Pd crystal (GGA-PBE, Alexandria via LeMat-Bulk).

Values from the calculation:
VASP energy: -0.1931 hartree per atom
Total magnetization: 3.18 Bohr magnetons per cell
Space-group type: P2_1/m, No. 11
Formation energy (no corrections): -830 meV/atom
Theoretical density: 7.5 g/cm3
Density of states at the Fermi level: 14.92 states/eV per cell

a b c (Å): 7.655 6.331 9.638
angles (deg): 90.00 109.80 90.00
Fractional coordinates of all 14 atoms:
Ba 0.233 0.250 0.063
Ba 0.767 0.750 0.937
U 0.280 0.250 0.561
U 0.720 0.750 0.439
Te 0.028 0.506 0.711
Te 0.028 0.994 0.711
Te 0.426 0.750 0.594
Te 0.447 0.750 0.123
Te 0.553 0.250 0.877
Te 0.574 0.250 0.406
Te 0.972 0.006 0.289
Te 0.972 0.494 0.289
Pd 0.255 0.750 0.305
Pd 0.745 0.250 0.695

# Ba2ZnTePd

A relaxed Ba2ZnTePd crystal (GGA-PBE, Alexandria via LeMat-Bulk).

Values from the calculation:
VASP energy: -0.1288 hartree per atom
Total magnetization: 0.00 Bohr magnetons per cell
Space-group type: P4/mmm, No. 123
Formation energy (no corrections): -815 meV/atom
Theoretical density: 5.3 g/cm3
Density of states at the Fermi level: 1.79 states/eV per cell

a b c (Å): 6.057 6.057 4.884
angles (deg): 90.00 90.00 90.00
Fractional coordinates of all 5 atoms:
Ba 0.000 0.500 0.000
Ba 0.500 0.000 0.000
Zn 0.000 0.000 0.500
Te 0.500 0.500 0.500
Pd 0.000 0.000 0.000

# BaZrTe3Pd

A relaxed BaZrTe3Pd crystal (GGA-PBE, Alexandria via LeMat-Bulk).

Values from the calculation:
VASP energy: -0.1940 hartree per atom
Total magnetization: 0.00 Bohr magnetons per cell
Space-group type: P2_1/m, No. 11
Formation energy (no corrections): -1097 meV/atom
Theoretical density: 6.6 g/cm3
Density of states at the Fermi level: 1.31 states/eV per cell

a b c (Å): 8.398 4.252 10.730
angles (deg): 90.00 109.47 90.00
Fractional coordinates of all 12 atoms:
Ba 0.241 0.250 0.204
Ba 0.759 0.750 0.796
Zr 0.211 0.750 0.680
Zr 0.789 0.250 0.320
Te 0.059 0.750 0.377
Te 0.238 0.750 0.948
Te 0.427 0.250 0.638
Te 0.573 0.750 0.362
Te 0.762 0.250 0.052
Te 0.941 0.250 0.623
Pd 0.414 0.250 0.886
Pd 0.586 0.750 0.114

# BaThPd4

A relaxed BaThPd4 crystal (GGA-PBE, Alexandria via LeMat-Bulk).

Values from the calculation:
VASP energy: -0.2050 hartree per atom
Total magnetization: 0.00 Bohr magnetons per cell
Space-group type: F-43m, No. 216
Theoretical density: 10.5 g/cm3
Density of states at the Fermi level: 1.60 states/eV per cell

a b c (Å): 5.623 5.623 5.623
angles (deg): 60.00 60.00 60.00
Fractional coordinates of all 6 atoms:
Ba 0.000 0.000 0.000
Th 0.750 0.750 0.750
Pd 0.376 0.376 0.376
Pd 0.376 0.376 0.873
Pd 0.376 0.873 0.376
Pd 0.873 0.376 0.376

# BaTiPd3

A relaxed BaTiPd3 crystal (GGA-PBE, Alexandria via LeMat-Bulk).

Values from the calculation:
VASP energy: -0.1920 hartree per atom
Total magnetization: 0.00 Bohr magnetons per cell
Space-group type: Pm-3m, No. 221
Energy above the lowest structure with this stoichiometry: 0.0 meV per atom
Theoretical density: 7.0 g/cm3
Density of states at the Fermi level: 5.45 states/eV per cell

a b c (Å): 4.917 4.917 4.917
angles (deg): 90.00 90.00 90.00
Fractional coordinates of all 5 atoms:
Ba 0.000 0.000 0.000
Ti 0.500 0.500 0.500
Pd 0.000 0.500 0.500
Pd 0.500 0.000 0.500
Pd 0.500 0.500 0.000

# BaTiPd2

A relaxed BaTiPd2 crystal (GGA-PBE, Alexandria via LeMat-Bulk).

Values from the calculation:
VASP energy: -0.1832 hartree per atom
Total magnetization: 0.00 Bohr magnetons per cell
Space-group type: Fm-3m, No. 225
Energy above the lowest structure with this stoichiometry: 438.1 meV per atom
Theoretical density: 7.4 g/cm3
Density of states at the Fermi level: 6.17 states/eV per cell

a b c (Å): 5.008 5.008 5.008
angles (deg): 60.00 60.00 60.00
Fractional coordinates of all 4 atoms:
Ba 0.000 0.000 0.000
Ti 0.500 0.500 0.500
Pd 0.250 0.250 0.250
Pd 0.750 0.750 0.750

# BaTiPd2

A relaxed BaTiPd2 crystal (GGA-PBE, Alexandria via LeMat-Bulk).

Values from the calculation:
VASP energy: -0.1880 hartree per atom
Total magnetization: 1.78 Bohr magnetons per cell
Space-group type: I4_1/amd, No. 141
Energy above the lowest structure with this stoichiometry: 307.7 meV per atom
Theoretical density: 5.6 g/cm3
Density of states at the Fermi level: 9.73 states/eV per cell

a b c (Å): 8.949 8.949 8.949
angles (deg): 144.94 144.94 50.43
Fractional coordinates of all 8 atoms:
Ba 0.375 0.625 0.750
Ba 0.625 0.375 0.250
Ti 0.125 0.875 0.250
Ti 0.875 0.125 0.750
Pd 0.000 0.000 0.000
Pd 0.000 0.000 0.500
Pd 0.000 0.500 0.000
Pd 0.500 0.000 0.500

# Ba2TiPd2

A relaxed Ba2TiPd2 crystal (GGA-PBE, Alexandria via LeMat-Bulk).

Values from the calculation:
VASP energy: -0.1663 hartree per atom
Total magnetization: 3.13 Bohr magnetons per cell
Space-group type: P4/mbm, No. 127
Theoretical density: 6.4 g/cm3
Density of states at the Fermi level: 11.77 states/eV per cell

a b c (Å): 7.356 7.356 5.100
angles (deg): 90.00 90.00 90.00
Fractional coordinates of all 10 atoms:
Ba 0.171 0.329 0.000
Ba 0.329 0.829 0.000
Ba 0.671 0.171 0.000
Ba 0.829 0.671 0.000
Ti 0.000 0.000 0.500
Ti 0.500 0.500 0.500
Pd 0.142 0.642 0.500
Pd 0.358 0.142 0.500
Pd 0.642 0.858 0.500
Pd 0.858 0.358 0.500

# BaTiPd3

A relaxed BaTiPd3 crystal (GGA-PBE, Alexandria via LeMat-Bulk).

Values from the calculation:
VASP energy: -0.1366 hartree per atom
Total magnetization: 0.04 Bohr magnetons per cell
Space-group type: Pm-3m, No. 221
Energy above the lowest structure with this stoichiometry: 1507.4 meV per atom
Theoretical density: 5.6 g/cm3
Density of states at the Fermi level: 8.56 states/eV per cell

a b c (Å): 5.296 5.296 5.296
angles (deg): 90.00 90.00 90.00
Fractional coordinates of all 5 atoms:
Ba 0.000 0.000 0.000
Ti 0.500 0.500 0.500
Pd 0.000 0.000 0.500
Pd 0.000 0.500 0.000
Pd 0.500 0.000 0.000